DFT (PBE) results for crystalline RbBaPtO3 at its relaxed geometry.

Unit cell a=7.4500 b=7.4500 c=8.4354 alpha=106.26 beta=106.26 gamma=31.18
With the nearest neighbours (Å) after each atom.
Sites, in units of the cell vectors:
Rb: 0.1429 0.1429 0.0659  7 O 2.99-3.24
Rb: 0.8571 0.8571 0.9341  7 O 2.99-3.24
Ba: 0.1525 0.1525 0.5844  7 O 2.66-2.82
Ba: 0.8475 0.8475 0.4156  7 O 2.66-2.82
Pt: 0.4950 0.4950 0.7323  4 O 1.99-2.03
Pt: 0.5050 0.5050 0.2677  4 O 1.99-2.03
O: 0.0052 0.0052 0.3067  2 Pt 2.03
O: 0.3492 0.3492 0.6523  1 Pt 2.00
O: 0.3599 0.3599 0.1984  1 Pt 1.99
O: 0.6401 0.6401 0.8016  1 Pt 1.99
O: 0.6508 0.6508 0.3477  1 Pt 2.00
O: 0.9948 0.9948 0.6933  2 Pt 2.03

Computed properties:
Energy relative to the elements, uncorrected in meV per atom: -1462
E_tot in eV/atom: -5.43
Calculated density in g/cm3: 6.7